First-principles (PBE) data for an optimized crystal structure of YPSe2, as listed in Alexandria via LeMat-Bulk.

Its raw total energy is -21.2 eV/cell. Its total magnetic moment is 0.0 μB per cell. As for the uncorrected formation energy: -2.3 eV per formula unit.

It has space group P4/mmm (No. 123), with a = 4.711 Å, b = 4.711 Å, c = 3.753 Å, α = 90.00°, β = 90.00° and γ = 90.00°. Symmetry generates all atoms from Y at (0.000, 0.000, 0.000), P at (0.500, 0.500, 0.000) and Se at (0.000, 0.500, 0.500).